Below is a relaxed CdSnWO6 crystal, with properties calculated at the GGA+U level.

The space group is P4_2nm (No. 102) and the conventional cell measures 4.919, 4.919 and 9.671 Å, with angles of 90.00, 90.00 and 90.00 degrees. Symmetry generates all atoms from Cd at (0.000, 0.000, 0.000), Sn at (0.000, 0.000, 0.329), W at (0.000, 0.000, 0.668), O at (0.176, 0.176, 0.506), O at (0.203, 0.203, 0.804) and O at (0.218, 0.218, 0.180).

Its crystal system is tetragonal. Its density of states at the Fermi level is 0.000 states/eV/atom. Its raw total energy is -6.294 eV per atom.